No. 1
A geometry-optimized Ca2MgTc structure, computed with PBE.

Cell and atoms, written as POSCAR:
```
Ca2MgTc
1.0
4.941 0.000 0.000
0.000 3.208 0.032
0.000 1.538 6.235
Mg Ca Tc
1 2 1
direct
0.000 0.680 0.515
0.000 0.966 0.943
0.500 0.287 0.300
0.500 0.567 0.742
```

Values from the calculation:
SG = Amm2
electronic total energy = -14.196 eV for the cell shown
E_form = 0.44 eV per atom


No. 2
A geometry-optimized PmPr2NdTm structure, computed with PBE.

Cell and atoms, written as POSCAR:
```
PmPr2NdTm
1.0
-0.956 -6.107 -2.566
5.274 1.811 -6.277
4.682 -2.237 3.581
Pr Nd Tm Pm
4 2 2 2
direct
0.306 0.691 0.262
0.306 0.309 0.238
0.694 0.691 0.762
0.694 0.309 0.738
0.000 0.000 0.000
0.000 0.000 0.500
0.161 0.500 0.750
0.839 0.500 0.250
0.429 0.000 0.750
0.571 0.000 0.250
```

Values from the calculation:
SG = P2/c
electronic total energy = -44.473 eV for the cell shown
E_form = 0.26 eV per atom